1.
P2IrWI | PBE | optimized geometry

Summary:
Formation energy (no corrections)   13.11 eV per formula unit
Symmetry   P4/mmm, No. 123
Magnetic moment   0.0 Bohr magnetons per cell

Unit cell a=4.8515 b=4.8300 c=4.8515 alpha=90.00 beta=90.00 gamma=90.00
Last column: nearest neighbours and their distance in Å.
Fractional coordinates of all 5 atoms:
Ir 0.0000 0.5000 0.0000  2 I 2.42
P 0.5000 0.0000 0.0000  2 I 2.43
P 0.0000 0.0000 0.5000  2 I 2.43
I 0.0000 0.0000 0.0000  2 Ir 2.42, 4 P 2.43
W 0.5000 0.5000 0.5000  8 P 3.42, 4 Ir 3.43


2.
NaInRh2 | PBE | optimized geometry

Summary:
ΔE_f   34 meV/atom
Symmetry   P4/mmm, No. 123
Magnetic moment   0.0 Bohr magnetons per cell

Unit cell a=3.2677 b=4.5288 c=4.5288 alpha=90.00 beta=90.00 gamma=90.00
Last column: nearest neighbours and their distance in Å.
Fractional coordinates of all 4 atoms:
Rh 0.0000 0.5000 0.0000  4 In 2.79, 4 Na 2.79
Rh 0.0000 0.0000 0.5000  4 In 2.79, 4 Na 2.79
Na 0.5000 0.5000 0.5000  8 Rh 2.79
In 0.5000 0.0000 0.0000  8 Rh 2.79


3.
HfTl2Br5F | PBE | optimized geometry

Summary:
Formation energy (no corrections)   -13.39 eV per formula unit
Symmetry   I4mm, No. 107
Magnetic moment   0.0 Bohr magnetons per cell

Unit cell a=7.4154 b=7.4154 c=7.4154 alpha=94.41 beta=117.49 gamma=117.49
Last column: nearest neighbours and their distance in Å.
Fractional coordinates of all 9 atoms:
Tl 0.5000 0.2432 0.7432  10 Br 3.70-3.85, 2 F 3.89
Tl 0.5000 0.7432 0.2432  10 Br 3.70-3.85, 2 F 3.89
Br 0.0000 0.2363 0.7513  1 Hf 2.64
Br 0.0000 0.7513 0.2363  1 Hf 2.64
Br 0.4850 0.2363 0.2363  1 Hf 2.64
Br 0.0000 0.2508 0.2508  1 Hf 2.63
Br 0.5150 0.7513 0.7513  1 Hf 2.64
F 0.0000 0.7979 0.7979  1 Hf 1.93
Hf 0.0000 0.9898 0.9898  1 F 1.93


4.
Cr3IrN | PBE | optimized geometry

Summary:
Offset from the most stable computed form   2369.6 meV/atom
Formation energy (no corrections)   10.32 eV per formula unit
Symmetry   Pm-3m, No. 221
Magnetic moment   8.8 Bohr magnetons per cell

Unit cell a=4.7427 b=4.7427 c=4.7427 alpha=90.00 beta=90.00 gamma=90.00
Last column: nearest neighbours and their distance in Å.
Fractional coordinates of all 5 atoms:
Cr 0.5000 0.0000 0.0000  2 Ir 2.37
Cr 0.0000 0.0000 0.5000  2 Ir 2.37
Cr 0.0000 0.5000 0.0000  2 Ir 2.37
Ir 0.0000 0.0000 0.0000  6 Cr 2.37
N 0.5000 0.5000 0.5000  12 Cr 3.35


5.
GaTeH | PBE | optimized geometry

Summary:
Offset from the most stable computed form   187.5 meV/atom
Symmetry   Cm, No. 8
Magnetic moment   0.0 Bohr magnetons per cell

Unit cell a=4.3998 b=4.2766 c=14.1719 alpha=90.00 beta=91.37 gamma=90.00
Last column: nearest neighbours and their distance in Å.
Fractional coordinates of all 12 atoms:
Te 0.4202 0.5000 0.9899  2 Ga 2.65, 2 H 2.90
Te 0.9438 0.0000 0.7623  4 Ga 2.73-3.02
Te 0.9438 0.5000 0.2623  4 Ga 2.73-3.02
Te 0.4202 0.0000 0.4899  2 Ga 2.65, 2 H 2.90
Ga 0.4621 0.0000 0.8804  4 Te 2.65-2.80
Ga 0.5427 0.0000 0.1743  2 H 2.47
Ga 0.4621 0.5000 0.3804  4 Te 2.65-2.80
Ga 0.5427 0.5000 0.6743  2 H 2.47
H 0.9591 0.0898 0.0641  1 H 0.77
H 0.9591 0.5898 0.5641  1 H 0.77
H 0.9591 0.4102 0.5641  1 H 0.77
H 0.9591 0.9102 0.0641  1 H 0.77


6.
RbNdSm4S8 | PBE | optimized geometry

Summary:
Formation energy (no corrections)   -26.45 eV per formula unit
Symmetry   R3m, No. 160
Magnetic moment   0.0 Bohr magnetons per cell

Unit cell a=8.4369 b=8.4369 c=8.4848 alpha=60.19 beta=60.19 gamma=60.00
Last column: nearest neighbours and their distance in Å.
Fractional coordinates of all 14 atoms:
S 0.2338 0.8045 0.7278  2 Sm 2.72, 1 Nd 2.76, 1 Rb 2.97
S 0.2338 0.2338 0.7278  2 Sm 2.72, 1 Nd 2.76, 1 Rb 2.97
S 0.2294 0.7560 0.2586  3 Sm 2.73-2.96, 1 Nd 2.98
S 0.7560 0.2294 0.2586  3 Sm 2.73-2.96, 1 Nd 2.98
S 0.8045 0.2338 0.7278  2 Sm 2.72, 1 Nd 2.76, 1 Rb 2.97
S 0.7560 0.7560 0.2586  3 Sm 2.73-2.96, 1 Nd 2.98
S 0.7570 0.7570 0.7290  4 Sm 2.75-2.96
S 0.2309 0.2309 0.3072  3 Sm 2.72, 1 Rb 2.97
Sm 0.0040 0.4877 0.5043  6 S 2.72-2.96
Sm 0.6252 0.6252 0.1244  4 S 2.73-2.75
Sm 0.0040 0.0040 0.5043  6 S 2.72-2.96
Sm 0.4877 0.0040 0.5043  6 S 2.72-2.96
Rb 0.3733 0.3733 0.8801  4 S 2.97
Nd 0.0043 0.0043 0.9871  6 S 2.76-2.98


7.
Al2VZn | PBE | optimized geometry

Summary:
ΔE_f   -170 meV/atom
Symmetry   I-4m2, No. 119
Magnetic moment   0.0 Bohr magnetons per cell

Unit cell a=3.6956 b=3.6956 c=4.9905 alpha=111.73 beta=111.73 gamma=90.00
Last column: nearest neighbours and their distance in Å.
Fractional coordinates of all 4 atoms:
Al 0.7500 0.2500 0.5000  4 Zn 2.61, 4 Al 2.82, 4 V 2.82
Al 0.5000 0.5000 0.0000  4 V 2.61, 4 Al 2.82, 4 Zn 2.82
V 0.0000 0.0000 0.0000  8 Al 2.61-2.82, 4 Zn 2.82
Zn 0.2500 0.7500 0.5000  8 Al 2.61-2.82, 4 V 2.82


8.
ScCrAgSn2 | PBE | optimized geometry

Summary:
ΔE_f   747 meV/atom
Symmetry   P4/mmm, No. 123
Magnetic moment   4.5 Bohr magnetons per cell

Unit cell a=5.2228 b=5.1780 c=5.2228 alpha=90.00 beta=90.00 gamma=90.00
Last column: nearest neighbours and their distance in Å.
Fractional coordinates of all 5 atoms:
Ag 0.0000 0.0000 0.0000  2 Sc 2.59, 4 Sn 2.61
Sc 0.0000 0.5000 0.0000  2 Ag 2.59
Cr 0.5000 0.5000 0.5000  8 Sn 3.68, 4 Sc 3.69
Sn 0.5000 0.0000 0.0000  2 Ag 2.61
Sn 0.0000 0.0000 0.5000  2 Ag 2.61


9.
RbLa2VFe | PBE | optimized geometry

Summary:
ΔE_f   1266 meV/atom
Symmetry   P4/mmm, No. 123
Magnetic moment   3.7 Bohr magnetons per cell

Unit cell a=5.3411 b=6.0044 c=5.3411 alpha=90.00 beta=90.00 gamma=90.00
Last column: nearest neighbours and their distance in Å.
Fractional coordinates of all 5 atoms:
Fe 0.5000 0.5000 0.5000  4 Rb 3.78, 8 La 4.02
Rb 0.0000 0.5000 0.0000  2 V 3.00
V 0.0000 0.0000 0.0000  4 La 2.67
La 0.5000 0.0000 0.0000  2 V 2.67
La 0.0000 0.0000 0.5000  2 V 2.67


10.
Tb2NdScTl2 | PBE | optimized geometry

Summary:
ΔE_f   -258 meV/atom
Symmetry   Pmc2_1, No. 26
Magnetic moment   0.0 Bohr magnetons per cell

Unit cell a=5.0057 b=6.9725 c=9.8757 alpha=90.00 beta=90.00 gamma=90.00
Last column: nearest neighbours and their distance in Å.
Fractional coordinates of all 12 atoms:
Nd 0.0000 0.4550 0.5488  5 Tl 3.25-3.40, 2 Sc 3.53, 2 Nd 3.62
Nd 0.0000 0.9550 0.4512  5 Tl 3.25-3.40, 2 Sc 3.53, 2 Nd 3.62
Sc 0.5000 0.6658 0.3026  4 Tl 3.11-3.21
Sc 0.5000 0.1658 0.6974  4 Tl 3.11-3.21
Tb 0.0000 0.3464 0.1849  4 Tl 3.14-3.23, 2 Tb 3.49
Tb 0.5000 0.0534 0.0504  5 Tl 3.21-3.53, 2 Tb 3.49, 1 Sc 3.57
Tb 0.0000 0.8464 0.8151  4 Tl 3.14-3.23, 2 Tb 3.49
Tb 0.5000 0.5534 0.9496  5 Tl 3.21-3.53, 2 Tb 3.49, 1 Sc 3.57
Tl 0.0000 0.2922 0.8631  2 Sc 3.12, 4 Tb 3.14-3.21, 1 Nd 3.31
Tl 0.5000 0.2329 0.3762  2 Sc 3.11-3.21, 3 Tb 3.23-3.45, 4 Nd 3.25-3.40
Tl 0.0000 0.7922 0.1369  2 Sc 3.12, 4 Tb 3.14-3.21, 1 Nd 3.31
Tl 0.5000 0.7329 0.6238  2 Sc 3.11-3.21, 3 Tb 3.23-3.45, 4 Nd 3.25-3.40


11.
PmLuCu | PBE | optimized geometry

Summary:
Offset from the most stable computed form   171.0 meV/atom
ΔE_f   41 meV/atom
Symmetry   P3m1, No. 156
Magnetic moment   0.0 Bohr magnetons per cell

Unit cell a=3.9364 b=4.7368 c=4.7368 alpha=120.00 beta=90.00 gamma=90.00
Last column: nearest neighbours and their distance in Å.
Fractional coordinates of all 3 atoms:
Pm 0.6465 0.6667 0.3333  6 Cu 3.23-3.52, 6 Lu 3.36-3.38
Cu 0.2107 0.3333 0.6667  3 Lu 2.75
Lu 0.1428 0.0000 0.0000  3 Cu 2.75


12.
Hf8Pb2W | PBE | optimized geometry

Summary:
ΔE_f   28 meV/atom
Symmetry   C2/m, No. 12
Magnetic moment   0.0 Bohr magnetons per cell

Unit cell a=5.0689 b=7.8623 c=7.6216 alpha=120.58 beta=109.42 gamma=90.00
Last column: nearest neighbours and their distance in Å.
Fractional coordinates of all 11 atoms:
Hf 0.1253 0.1662 0.2506  4 Hf 2.94-3.29, 2 W 2.97, 3 Pb 3.14-3.19
Hf 0.4168 0.5623 0.8336  1 W 2.97, 5 Hf 3.02-3.17, 3 Pb 3.10-3.14
Hf 0.5832 0.4377 0.1664  1 W 2.97, 5 Hf 3.02-3.17, 3 Pb 3.10-3.14
Hf 0.0495 0.7361 0.0990  7 Hf 2.94-3.18, 1 Pb 2.99
Hf 0.9505 0.2639 0.9010  7 Hf 2.94-3.18, 1 Pb 2.99
Hf 0.6688 0.9032 0.3376  1 W 2.91, 6 Hf 2.94-3.22, 1 Pb 3.05
Hf 0.3312 0.0968 0.6624  1 W 2.91, 6 Hf 2.94-3.22, 1 Pb 3.05
Hf 0.8747 0.8338 0.7494  4 Hf 2.94-3.29, 2 W 2.97, 3 Pb 3.14-3.19
Pb 0.2246 0.6406 0.4492  8 Hf 2.99-3.19
Pb 0.7754 0.3594 0.5508  8 Hf 2.99-3.19
W 0.5000 0.0000 0.0000  8 Hf 2.91-2.97